Entry 1:
Below is an optimized crystal structure of NiIr6Ru, with properties calculated at the PBE level.

Values from the calculation:
Its total energy is -68.29 eV for the cell shown. The value obtained for the energy of formation from the pure elements is -9 meV/atom.

Cell and atoms, written as CIF:
```
data_NiIr6Ru
_chemical_formula_sum 'Ni1 Ir6 Ru1'
_cell_length_a 3.833
_cell_length_b 3.833
_cell_length_c 7.674
_cell_angle_alpha 90.00
_cell_angle_beta 90.00
_cell_angle_gamma 90.00
_symmetry_space_group_name_H-M 'P 4/m m m'
_symmetry_Int_Tables_number 123
_symmetry_space_group_name_Hall '-P 4 2'
loop_
_atom_site_label
_atom_site_type_symbol
_atom_site_fract_x
_atom_site_fract_y
_atom_site_fract_z
_atom_site_occupancy
Ni1 Ni 0.000 0.000 0.000 1
Ir1 Ir 0.000 0.500 0.250 1
Ir2 Ir 0.500 0.500 0.000 1
Ir3 Ir 0.500 0.500 0.500 1
Ru1 Ru 0.000 0.000 0.500 1
```

---

Entry 2:
Below is an optimized crystal structure of AcCdSn4, with properties calculated at the PBE level.

Values from the calculation:
Its total energy is -44.75 eV for the cell shown. The value obtained for the energy of formation from the pure elements is -223 meV/atom. Its energy above the most stable polymorph in this dataset is 0.042 eV per atom.

Cell and atoms, written as CIF:
```
data_AcCdSn4
_chemical_formula_sum 'Ac2 Cd2 Sn8'
_cell_length_a 5.202
_cell_length_b 12.372
_cell_length_c 5.390
_cell_angle_alpha 90.00
_cell_angle_beta 90.00
_cell_angle_gamma 90.00
_symmetry_space_group_name_H-M 'C m m m'
_symmetry_Int_Tables_number 65
_symmetry_space_group_name_Hall '-C 2 2'
loop_
_atom_site_label
_atom_site_type_symbol
_atom_site_fract_x
_atom_site_fract_y
_atom_site_fract_z
_atom_site_occupancy
Ac1 Ac 0.000 0.000 0.000 1
Cd1 Cd 0.000 0.500 0.500 1
Sn1 Sn 0.000 0.176 0.500 1
Sn2 Sn 0.000 0.311 0.000 1
```

---

Entry 3:
Below is an optimized crystal structure of Al2TlPtSe, with properties calculated at the PBE level.

Values from the calculation:
Its total energy is -20.48 eV for the cell shown. As for the formation energy from raw total energies: -221 meV/atom.

Cell and atoms, written as CIF:
```
data_Al2TlPtSe
_chemical_formula_sum 'Al2 Tl1 Pt1 Se1'
_cell_length_a 4.806
_cell_length_b 4.806
_cell_length_c 5.341
_cell_angle_alpha 90.00
_cell_angle_beta 90.00
_cell_angle_gamma 90.00
_symmetry_space_group_name_H-M 'P 4/m m m'
_symmetry_Int_Tables_number 123
_symmetry_space_group_name_Hall '-P 4 2'
loop_
_atom_site_label
_atom_site_type_symbol
_atom_site_fract_x
_atom_site_fract_y
_atom_site_fract_z
_atom_site_occupancy
Al1 Al 0.000 0.500 0.000 1
Tl1 Tl 0.000 0.000 0.500 1
Pt1 Pt 0.000 0.000 0.000 1
Se1 Se 0.500 0.500 0.500 1
```

---

Entry 4:
Below is an optimized crystal structure of Li2TbScAu4, with properties calculated at the PBE level.

Values from the calculation:
Its total energy is -100.49 eV for the cell shown. The value obtained for the energy of formation from the pure elements is -700 meV/atom.

Cell and atoms, written as CIF:
```
data_Li2TbScAu4
_chemical_formula_sum 'Li6 Tb3 Sc3 Au12'
_cell_length_a 4.6169
_cell_length_b 4.6169
_cell_length_c 24.9851
_cell_angle_alpha 90.00
_cell_angle_beta 90.00
_cell_angle_gamma 120.00
_symmetry_space_group_name_H-M 'R -3 m'
_symmetry_Int_Tables_number 166
_symmetry_space_group_name_Hall '-R 3 2"'
loop_
_atom_site_label
_atom_site_type_symbol
_atom_site_fract_x
_atom_site_fract_y
_atom_site_fract_z
_atom_site_occupancy
Li1 Li 0.0000 0.0000 0.2446 1
Tb1 Tb 0.0000 0.0000 0.0000 1
Sc1 Sc 0.0000 0.0000 0.5000 1
Au1 Au 0.0000 0.0000 0.1230 1
Au2 Au 0.0000 0.0000 0.3883 1
```

---

Entry 5:
Below is an optimized crystal structure of ErAlNi, with properties calculated at the PBE level.

Values from the calculation:
Its total energy is -30.73 eV for the cell shown. The value obtained for the energy of formation from the pure elements is -425 meV/atom.

Cell and atoms, written as CIF:
```
data_ErAlNi
_chemical_formula_sum 'Er2 Al2 Ni2'
_cell_length_a 3.143
_cell_length_b 3.143
_cell_length_c 10.742
_cell_angle_alpha 90.00
_cell_angle_beta 90.00
_cell_angle_gamma 90.00
_symmetry_space_group_name_H-M 'I 4 m m'
_symmetry_Int_Tables_number 107
_symmetry_space_group_name_Hall 'I 4 -2'
loop_
_atom_site_label
_atom_site_type_symbol
_atom_site_fract_x
_atom_site_fract_y
_atom_site_fract_z
_atom_site_occupancy
Er1 Er 0.000 0.000 0.000 1
Al1 Al 0.000 0.000 0.287 1
Ni1 Ni 0.000 0.000 0.675 1
```

---

Entry 6:
Below is an optimized crystal structure of CrP2Se, with properties calculated at the PBE level.

Values from the calculation:
Its total energy is -44.97 eV for the cell shown. As for the formation energy from raw total energies: 360 meV/atom.

Cell and atoms, written as CIF:
```
data_CrP2Se
_chemical_formula_sum 'Cr2 P4 Se2'
_cell_length_a 3.425
_cell_length_b 3.425
_cell_length_c 12.910
_cell_angle_alpha 90.00
_cell_angle_beta 90.00
_cell_angle_gamma 90.00
_symmetry_space_group_name_H-M 'I 4/m m m'
_symmetry_Int_Tables_number 139
_symmetry_space_group_name_Hall '-I 4 2'
loop_
_atom_site_label
_atom_site_type_symbol
_atom_site_fract_x
_atom_site_fract_y
_atom_site_fract_z
_atom_site_occupancy
Cr1 Cr 0.000 0.000 0.000 1
P1 P 0.000 0.500 0.250 1
Se1 Se 0.000 0.000 0.500 1
```

---

Entry 7:
Below is an optimized crystal structure of HfTlZnOs2, with properties calculated at the PBE level.

Values from the calculation:
Its total energy is -27.71 eV for the cell shown. The value obtained for the energy of formation from the pure elements is 1668 meV/atom.

Cell and atoms, written as CIF:
```
data_HfTlZnOs2
_chemical_formula_sum 'Hf1 Tl1 Zn1 Os2'
_cell_length_a 4.898
_cell_length_b 4.898
_cell_length_c 5.230
_cell_angle_alpha 90.00
_cell_angle_beta 90.00
_cell_angle_gamma 90.00
_symmetry_space_group_name_H-M 'P 4/m m m'
_symmetry_Int_Tables_number 123
_symmetry_space_group_name_Hall '-P 4 2'
loop_
_atom_site_label
_atom_site_type_symbol
_atom_site_fract_x
_atom_site_fract_y
_atom_site_fract_z
_atom_site_occupancy
Hf1 Hf 0.000 0.000 0.000 1
Tl1 Tl 0.500 0.500 0.500 1
Zn1 Zn 0.000 0.000 0.500 1
Os1 Os 0.000 0.500 0.000 1
```

---

Entry 8:
Below is an optimized crystal structure of Cr3AsI, with properties calculated at the PBE level.

Values from the calculation:
Its total energy is -27.73 eV for the cell shown. Its energy above the most stable polymorph in this dataset is 0.812 eV per atom. As for the formation energy from raw total energies: 1467 meV/atom.

Cell and atoms, written as CIF:
```
data_Cr3AsI
_chemical_formula_sum 'Cr3 As1 I1'
_cell_length_a 5.200
_cell_length_b 5.200
_cell_length_c 5.200
_cell_angle_alpha 90.00
_cell_angle_beta 90.00
_cell_angle_gamma 90.00
_symmetry_space_group_name_H-M 'P m -3 m'
_symmetry_Int_Tables_number 221
_symmetry_space_group_name_Hall '-P 4 2 3'
loop_
_atom_site_label
_atom_site_type_symbol
_atom_site_fract_x
_atom_site_fract_y
_atom_site_fract_z
_atom_site_occupancy
Cr1 Cr 0.000 0.000 0.500 1
As1 As 0.500 0.500 0.500 1
I1 I 0.000 0.000 0.000 1
```

---

Entry 9:
Below is an optimized crystal structure of ScTc2Br, with properties calculated at the PBE level.

Values from the calculation:
Its total energy is -58.83 eV for the cell shown. Its energy above the most stable polymorph in this dataset is 0.000 eV per atom. As for the formation energy from raw total energies: -170 meV/atom.

Cell and atoms, written as CIF:
```
data_ScTc2Br
_chemical_formula_sum 'Sc2 Tc4 Br2'
_cell_length_a 3.109
_cell_length_b 3.127
_cell_length_c 15.175
_cell_angle_alpha 90.00
_cell_angle_beta 90.00
_cell_angle_gamma 90.00
_symmetry_space_group_name_H-M 'A m m 2'
_symmetry_Int_Tables_number 38
loop_
_symmetry_equiv_pos_as_xyz
'x,y,z'
'-x,-y,z'
'-x,y,z'
'x,-y,z'
'x,y+1/2,z+1/2'
'-x,-y+1/2,z+1/2'
'-x,y+1/2,z+1/2'
'x,-y+1/2,z+1/2'
loop_
_atom_site_label
_atom_site_type_symbol
_atom_site_fract_x
_atom_site_fract_y
_atom_site_fract_z
_atom_site_occupancy
Sc1 Sc 0.000 0.000 0.000 1
Tc1 Tc 0.000 0.000 0.788 1
Tc2 Tc 0.500 0.000 0.376 1
Br1 Br 0.500 0.000 0.629 1
```

---

Entry 10:
Below is an optimized crystal structure of SmPuGa2, with properties calculated at the PBE level.

Values from the calculation:
Its total energy is -26.67 eV for the cell shown. The value obtained for the energy of formation from the pure elements is -391 meV/atom. Its energy above the most stable polymorph in this dataset is 0.000 eV per atom.

Cell and atoms, written as CIF:
```
data_SmPuGa2
_chemical_formula_sum 'Sm1 Pu1 Ga2'
_cell_length_a 3.330
_cell_length_b 3.330
_cell_length_c 8.374
_cell_angle_alpha 90.00
_cell_angle_beta 90.00
_cell_angle_gamma 90.00
_symmetry_space_group_name_H-M 'P 4/m m m'
_symmetry_Int_Tables_number 123
_symmetry_space_group_name_Hall '-P 4 2'
loop_
_atom_site_label
_atom_site_type_symbol
_atom_site_fract_x
_atom_site_fract_y
_atom_site_fract_z
_atom_site_occupancy
Sm1 Sm 0.000 0.000 0.000 1
Pu1 Pu 0.000 0.000 0.500 1
Ga1 Ga 0.500 0.500 0.253 1
```

---

Entry 11:
Below is an optimized crystal structure of NaPrCdCu, with properties calculated at the PBE level.

Values from the calculation:
Its total energy is -44.64 eV for the cell shown. The value obtained for the energy of formation from the pure elements is -13 meV/atom.

Cell and atoms, written as CIF:
```
data_NaPrCdCu
_chemical_formula_sum 'Na4 Pr4 Cd4 Cu4'
_cell_length_a 7.311
_cell_length_b 7.311
_cell_length_c 7.311
_cell_angle_alpha 90.00
_cell_angle_beta 90.00
_cell_angle_gamma 90.00
_symmetry_space_group_name_H-M 'F -4 3 m'
_symmetry_Int_Tables_number 216
_symmetry_space_group_name_Hall 'F -4 2 3'
loop_
_atom_site_label
_atom_site_type_symbol
_atom_site_fract_x
_atom_site_fract_y
_atom_site_fract_z
_atom_site_occupancy
Na1 Na 0.000 0.000 0.000 1
Pr1 Pr 0.000 0.000 0.500 1
Cd1 Cd 0.250 0.250 0.750 1
Cu1 Cu 0.250 0.250 0.250 1
```

---

Entry 12:
Below is an optimized crystal structure of Sn6IrAu, with properties calculated at the PBE level.

Values from the calculation:
Its total energy is -71.72 eV for the cell shown. The value obtained for the energy of formation from the pure elements is 37 meV/atom.

Cell and atoms, written as CIF:
```
data_Sn6IrAu
_chemical_formula_sum 'Sn12 Ir2 Au2'
_cell_length_a 6.478
_cell_length_b 11.111
_cell_length_c 6.396
_cell_angle_alpha 90.00
_cell_angle_beta 119.61
_cell_angle_gamma 90.00
_symmetry_space_group_name_H-M 'C 1 2/m 1'
_symmetry_Int_Tables_number 12
loop_
_symmetry_equiv_pos_as_xyz
'x,y,z'
'-x,-y,-z'
'-x,y,-z'
'x,-y,z'
'x+1/2,y+1/2,z'
'-x+1/2,-y+1/2,-z'
'-x+1/2,y+1/2,-z'
'x+1/2,-y+1/2,z'
loop_
_atom_site_label
_atom_site_type_symbol
_atom_site_fract_x
_atom_site_fract_y
_atom_site_fract_z
_atom_site_occupancy
Sn1 Sn 0.009 0.206 0.247 1
Sn2 Sn 0.023 0.500 0.763 1
Ir1 Ir 0.000 0.000 0.000 1
Au1 Au 0.000 0.000 0.500 1
```

---

Entry 13:
Below is an optimized crystal structure of Tb4Pm8Dy, with properties calculated at the PBE level.

Values from the calculation:
Its total energy is -175.94 eV for the cell shown. The value obtained for the energy of formation from the pure elements is 191 meV/atom.

Cell and atoms, written as CIF:
```
data_Tb4Pm8Dy
_chemical_formula_sum 'Tb12 Pm24 Dy3'
_cell_length_a 7.3128
_cell_length_b 7.3128
_cell_length_c 28.5567
_cell_angle_alpha 90.00
_cell_angle_beta 90.00
_cell_angle_gamma 120.00
_symmetry_space_group_name_H-M 'R -3 m'
_symmetry_Int_Tables_number 166
_symmetry_space_group_name_Hall '-R 3 2"'
loop_
_atom_site_label
_atom_site_type_symbol
_atom_site_fract_x
_atom_site_fract_y
_atom_site_fract_z
_atom_site_occupancy
Tb1 Tb 0.0000 0.0000 0.0000 1
Tb2 Tb 0.0000 0.5000 0.0000 1
Pm1 Pm 0.0000 0.0000 0.2132 1
Pm2 Pm 0.0323 0.5162 0.7649 1
Dy1 Dy 0.0000 0.0000 0.5000 1
```